Computed, not measured: Sc2Ge4Mo3 after structural relaxation at the PBE-GGA level of DFT.

Unit cell a=6.7328 b=12.9200 c=6.9266 alpha=90.00 beta=90.00 gamma=90.00
With the nearest neighbours (Å) after each atom.
Sites, in units of the cell vectors:
Sc: 0.4871 0.5904 0.1727  7 Ge 2.75-2.94
Sc: 0.9871 0.5904 0.3273  7 Ge 2.75-2.94
Sc: 0.4871 0.9096 0.1727  7 Ge 2.75-2.94
Sc: 0.0129 0.0904 0.6727  7 Ge 2.75-2.94
Sc: 0.5129 0.0904 0.8273  7 Ge 2.75-2.94
Sc: 0.0129 0.4096 0.6727  7 Ge 2.75-2.94
Sc: 0.5129 0.4096 0.8273  7 Ge 2.75-2.94
Sc: 0.9871 0.9096 0.3273  7 Ge 2.75-2.94
Ge: 0.3227 0.9546 0.5405  4 Mo 2.55-2.66, 1 Ge 2.72, 2 Sc 2.76-2.84
Ge: 0.4671 0.7500 0.8784  6 Mo 2.59-2.76, 1 Ge 2.67
Ge: 0.8227 0.9546 0.9595  4 Mo 2.55-2.66, 1 Ge 2.72, 2 Sc 2.76-2.84
Ge: 0.6773 0.4546 0.4595  4 Mo 2.55-2.66, 1 Ge 2.72, 2 Sc 2.76-2.84
Ge: 0.6886 0.7500 0.3475  4 Mo 2.61-2.69, 1 Ge 2.67, 4 Sc 2.75-2.88
Ge: 0.8114 0.2500 0.8475  4 Mo 2.61-2.69, 1 Ge 2.67, 4 Sc 2.75-2.88
Ge: 0.5329 0.2500 0.1216  6 Mo 2.59-2.76, 1 Ge 2.67
Ge: 0.1773 0.0454 0.0405  4 Mo 2.55-2.66, 1 Ge 2.72, 2 Sc 2.76-2.84
Ge: 0.1886 0.7500 0.1525  4 Mo 2.61-2.69, 1 Ge 2.67, 4 Sc 2.75-2.88
Ge: 0.9671 0.7500 0.6216  6 Mo 2.59-2.76, 1 Ge 2.67
Ge: 0.0329 0.2500 0.3784  6 Mo 2.59-2.76, 1 Ge 2.67
Ge: 0.6773 0.0454 0.4595  4 Mo 2.55-2.66, 1 Ge 2.72, 2 Sc 2.76-2.84
Ge: 0.1773 0.4546 0.0405  4 Mo 2.55-2.66, 1 Ge 2.72, 2 Sc 2.76-2.84
Ge: 0.8227 0.5454 0.9595  4 Mo 2.55-2.66, 1 Ge 2.72, 2 Sc 2.76-2.84
Ge: 0.3227 0.5454 0.5405  4 Mo 2.55-2.66, 1 Ge 2.72, 2 Sc 2.76-2.84
Ge: 0.3114 0.2500 0.6525  4 Mo 2.61-2.69, 1 Ge 2.67, 4 Sc 2.75-2.88
Mo: 0.1667 0.8746 0.8414  6 Ge 2.55-2.69
Mo: 0.3333 0.1254 0.3414  6 Ge 2.55-2.69
Mo: 0.8333 0.3746 0.1586  6 Ge 2.55-2.69
Mo: 0.8333 0.1254 0.1586  6 Ge 2.55-2.69
Mo: 0.6667 0.6254 0.6586  6 Ge 2.55-2.69
Mo: 0.1667 0.6254 0.8414  6 Ge 2.55-2.69
Mo: 0.8331 0.7500 0.9981  6 Ge 2.60-2.76
Mo: 0.3333 0.3746 0.3414  6 Ge 2.55-2.69
Mo: 0.6667 0.8746 0.6586  6 Ge 2.55-2.69
Mo: 0.1669 0.2500 0.0019  6 Ge 2.60-2.76
Mo: 0.3331 0.7500 0.5019  6 Ge 2.60-2.76
Mo: 0.6669 0.2500 0.4981  6 Ge 2.60-2.76

Output
**Total magnetic moment**: 0.00 μB per formula unit
**Calculated total energy**: -274.3 eV/cell
**Space-group type**: No. 62



Computed, not measured: ScGe2Mo after structural relaxation at the PBE-GGA level of DFT.

Unit cell a=4.6110 b=4.6110 c=4.6110 alpha=60.00 beta=60.00 gamma=60.00
With the nearest neighbours (Å) after each atom.
Sites, in units of the cell vectors:
Mo: 0.5000 0.5000 0.5000  4 Sc 2.82, 4 Ge 2.82
Ge: 0.0000 0.0000 0.0000  4 Ge 2.82, 4 Sc 2.82
Ge: 0.2500 0.2500 0.2500  4 Ge 2.82, 4 Mo 2.82
Sc: 0.7500 0.7500 0.7500  4 Mo 2.82, 4 Ge 2.82

Output
**Total magnetic moment**: 0.40 μB per formula unit
**Calculated total energy**: -25.6 eV/cell
**Space-group type**: No. 216



Computed, not measured: ScGeMo after structural relaxation at the PBE-GGA level of DFT.

Unit cell a=4.3421 b=4.3421 c=4.3421 alpha=60.00 beta=60.00 gamma=60.00
With the nearest neighbours (Å) after each atom.
Sites, in units of the cell vectors:
Ge: 0.0000 0.0000 0.0000  4 Sc 2.66, 4 Mo 2.66
Mo: 0.2500 0.2500 0.2500  4 Ge 2.66
Sc: 0.7500 0.7500 0.7500  4 Ge 2.66

Output
**Total magnetic moment**: 0.05 μB per formula unit
**Calculated total energy**: -22.0 eV/cell
**Space-group type**: No. 216



Computed, not measured: ScGe2Mo2 after structural relaxation at the PBE-GGA level of DFT.

Unit cell a=6.3715 b=6.3715 c=6.3715 alpha=144.09 beta=144.09 gamma=51.70
With the nearest neighbours (Å) after each atom.
Sites, in units of the cell vectors:
Mo: 0.7500 0.2500 0.5000  4 Ge 2.58, 4 Mo 2.78
Mo: 0.2500 0.7500 0.5000  4 Ge 2.58, 4 Mo 2.78
Ge: 0.6045 0.6045 0.0000  1 Ge 2.40, 4 Mo 2.58
Ge: 0.3955 0.3955 0.0000  1 Ge 2.40, 4 Mo 2.58
Sc: 0.0000 0.0000 0.0000  8 Ge 3.03

Output
**Total magnetic moment**: 0.01 μB per formula unit
**Calculated total energy**: -38.4 eV/cell
**Space-group type**: No. 139



Computed, not measured: SiGe2Mo after structural relaxation at the PBE-GGA level of DFT.

Unit cell a=4.4968 b=4.4968 c=4.4968 alpha=60.00 beta=60.00 gamma=60.00
With the nearest neighbours (Å) after each atom.
Sites, in units of the cell vectors:
Ge: 0.2500 0.2500 0.2500  4 Ge 2.75, 4 Mo 2.75
Ge: 0.0000 0.0000 0.0000  4 Ge 2.75, 4 Si 2.75
Mo: 0.5000 0.5000 0.5000  4 Si 2.75, 4 Ge 2.75
Si: 0.7500 0.7500 0.7500  4 Mo 2.75, 4 Ge 2.75

Output
**Total magnetic moment**: 0.00 μB per formula unit
**Calculated total energy**: -23.5 eV/cell
**Space-group type**: No. 216



Computed, not measured: SmGeMo after structural relaxation at the PBE-GGA level of DFT.

Unit cell a=4.8347 b=4.8347 c=4.8347 alpha=60.00 beta=60.00 gamma=60.00
With the nearest neighbours (Å) after each atom.
Sites, in units of the cell vectors:
Sm: 0.0000 0.0000 0.0000  4 Ge 2.96, 4 Mo 2.96
Mo: 0.7500 0.7500 0.7500  4 Sm 2.96
Ge: 0.2500 0.2500 0.2500  4 Sm 2.96

Output
**Total magnetic moment**: 3.52 μB per formula unit
**Calculated total energy**: -17.0 eV/cell
**Space-group type**: No. 216



Computed, not measured: SmGeMo after structural relaxation at the PBE-GGA level of DFT.

Unit cell a=4.5855 b=4.5855 c=4.5855 alpha=60.00 beta=60.00 gamma=60.00
With the nearest neighbours (Å) after each atom.
Sites, in units of the cell vectors:
Mo: 0.2500 0.2500 0.2500  4 Ge 2.81
Sm: 0.7500 0.7500 0.7500  4 Ge 2.81
Ge: 0.0000 0.0000 0.0000  4 Sm 2.81, 4 Mo 2.81

Output
**Total magnetic moment**: 0.37 μB per formula unit
**Calculated total energy**: -19.7 eV/cell
**Space-group type**: No. 216



Computed, not measured: SnGeMo after structural relaxation at the PBE-GGA level of DFT.

Unit cell a=4.5034 b=4.5034 c=4.5034 alpha=60.00 beta=60.00 gamma=60.00
With the nearest neighbours (Å) after each atom.
Sites, in units of the cell vectors:
Sn: 0.7500 0.7500 0.7500  4 Mo 2.76
Ge: 0.2500 0.2500 0.2500  4 Mo 2.76
Mo: 0.0000 0.0000 0.0000  4 Sn 2.76, 4 Ge 2.76

Output
**Total magnetic moment**: 0.89 μB per formula unit
**Calculated total energy**: -17.9 eV/cell
**Space-group type**: No. 216



Computed, not measured: SnGe2Mo after structural relaxation at the PBE-GGA level of DFT.

Unit cell a=4.7375 b=4.7375 c=4.7375 alpha=60.00 beta=60.00 gamma=60.00
With the nearest neighbours (Å) after each atom.
Sites, in units of the cell vectors:
Ge: 0.2500 0.2500 0.2500  4 Ge 2.90, 4 Mo 2.90
Ge: 0.0000 0.0000 0.0000  4 Sn 2.90, 4 Ge 2.90
Mo: 0.5000 0.5000 0.5000  4 Sn 2.90, 4 Ge 2.90
Sn: 0.7500 0.7500 0.7500  4 Mo 2.90, 4 Ge 2.90

Output
**Total magnetic moment**: 1.49 μB per formula unit
**Calculated total energy**: -21.7 eV/cell
**Space-group type**: No. 216



Computed, not measured: SrGe2Mo after structural relaxation at the PBE-GGA level of DFT.

Unit cell a=4.8532 b=4.8532 c=4.8532 alpha=60.00 beta=60.00 gamma=60.00
With the nearest neighbours (Å) after each atom.
Sites, in units of the cell vectors:
Sr: 0.7500 0.7500 0.7500  4 Mo 2.97, 4 Ge 2.97
Mo: 0.5000 0.5000 0.5000  4 Ge 2.97, 4 Sr 2.97
Ge: 0.2500 0.2500 0.2500  4 Mo 2.97, 4 Ge 2.97
Ge: 0.0000 0.0000 0.0000  4 Sr 2.97, 4 Ge 2.97

Output
**Total magnetic moment**: 1.73 μB per formula unit
**Calculated total energy**: -19.0 eV/cell
**Space-group type**: No. 216



Computed, not measured: TaGeMo2 after structural relaxation at the PBE-GGA level of DFT.

Unit cell a=4.4942 b=4.4942 c=4.4942 alpha=60.00 beta=60.00 gamma=60.00
With the nearest neighbours (Å) after each atom.
Sites, in units of the cell vectors:
Ge: 0.5000 0.5000 0.5000  4 Mo 2.75, 4 Ta 2.75
Mo: 0.0000 0.0000 0.0000  4 Ta 2.75, 4 Mo 2.75
Mo: 0.7500 0.7500 0.7500  4 Ge 2.75, 4 Mo 2.75
Ta: 0.2500 0.2500 0.2500  4 Mo 2.75, 4 Ge 2.75

Output
**Total magnetic moment**: 0.00 μB per formula unit
**Calculated total energy**: -37.7 eV/cell
**Space-group type**: No. 216



Computed, not measured: TaGe2Mo2 after structural relaxation at the PBE-GGA level of DFT.

Unit cell a=5.2326 b=5.2326 c=5.2326 alpha=126.83 beta=126.83 gamma=78.54
With the nearest neighbours (Å) after each atom.
Sites, in units of the cell vectors:
Ge: 0.2500 0.7500 0.5000  4 Mo 2.51
Ge: 0.7500 0.2500 0.5000  4 Mo 2.51
Ta: 0.0000 0.0000 0.0000  2 Mo 2.92, 8 Ge 3.10
Mo: 0.3598 0.3598 0.0000  1 Mo 2.27, 4 Ge 2.51
Mo: 0.6402 0.6402 0.0000  1 Mo 2.27, 4 Ge 2.51

Output
**Total magnetic moment**: 0.00 μB per formula unit
**Calculated total energy**: -40.1 eV/cell
**Space-group type**: No. 139



Computed, not measured: TaGeMo after structural relaxation at the PBE-GGA level of DFT.

Unit cell a=4.3882 b=4.3882 c=4.3882 alpha=60.00 beta=60.00 gamma=60.00
With the nearest neighbours (Å) after each atom.
Sites, in units of the cell vectors:
Ge: 0.2500 0.2500 0.2500  4 Ta 2.69
Mo: 0.7500 0.7500 0.7500  4 Ta 2.69
Ta: 0.0000 0.0000 0.0000  4 Ge 2.69, 4 Mo 2.69

Output
**Total magnetic moment**: 0.00 μB per formula unit
**Calculated total energy**: -25.2 eV/cell
**Space-group type**: No. 216



Computed, not measured: TaGe2Mo after structural relaxation at the PBE-GGA level of DFT.

Unit cell a=4.5569 b=4.5569 c=4.5569 alpha=60.00 beta=60.00 gamma=60.00
With the nearest neighbours (Å) after each atom.
Sites, in units of the cell vectors:
Mo: 0.7500 0.7500 0.7500  4 Ge 2.79, 4 Ta 2.79
Ge: 0.2500 0.2500 0.2500  4 Ge 2.79, 4 Ta 2.79
Ge: 0.5000 0.5000 0.5000  4 Ge 2.79, 4 Mo 2.79
Ta: 0.0000 0.0000 0.0000  4 Ge 2.79, 4 Mo 2.79

Output
**Total magnetic moment**: 0.00 μB per formula unit
**Calculated total energy**: -31.0 eV/cell
**Space-group type**: No. 216